First-principles (PBE-GGA) data for crystalline KTlRh at its relaxed geometry, as listed in Alexandria.

a b c (Å): 6.6708 6.6708 6.6708
angles (deg): 147.24 147.24 47.01
Last column: nearest neighbours and their distance in Å.
Element x y z (fractional)
1 K 0.0000 0.0000 0.0000  1 Rh 3.29, 1 Tl 3.31
2 Tl 0.2703 0.2703 0.0000  4 Rh 2.70
3 Rh 0.7313 0.7313 0.0000  4 Tl 2.70

---

First-principles (PBE-GGA) data for crystalline K2TlRh at its relaxed geometry, as listed in Alexandria.

Properties
The value obtained for the relative energy among the computed polymorphs is 455 meV per atom.

a b c (Å): 12.1557 12.1557 12.1557
angles (deg): 159.50 159.50 29.15
Last column: nearest neighbours and their distance in Å.
Element x y z (fractional)
1 K 0.1143 0.6250 0.9893  4 K 2.99-3.12, 2 Rh 3.30, 2 Tl 3.33
2 K 0.3750 0.3643 0.4893  4 K 2.99-3.12, 2 Rh 3.30, 2 Tl 3.33
3 K 0.6357 0.1250 0.0107  4 K 2.99-3.12, 2 Rh 3.30, 2 Tl 3.33
4 K 0.8750 0.8857 0.5107  4 K 2.99-3.12, 2 Rh 3.30, 2 Tl 3.33
5 Tl 0.2500 0.7500 0.5000  4 Rh 3.06, 4 K 3.33
6 Tl 0.5000 0.5000 0.0000  4 Rh 3.06, 4 K 3.33
7 Rh 0.0000 0.0000 0.0000  4 Tl 3.06, 4 K 3.30
8 Rh 0.7500 0.2500 0.5000  4 Tl 3.06, 4 K 3.30

---

First-principles (PBE-GGA) data for crystalline KTlRh at its relaxed geometry, as listed in Alexandria.

a b c (Å): 4.5848 4.5848 5.1136
angles (deg): 90.00 90.00 120.00
Last column: nearest neighbours and their distance in Å.
Element x y z (fractional)
1 K 0.0000 0.0000 0.0000  6 Rh 3.67-3.69, 6 Tl 3.68
2 Tl 0.3333 0.6667 0.4991  3 Rh 2.65
3 Rh 0.6667 0.3333 0.5016  3 Tl 2.65

---

First-principles (PBE-GGA) data for crystalline K2TlRh at its relaxed geometry, as listed in Alexandria.

Properties
The value obtained for the relative energy among the computed polymorphs is 263 meV per atom.

a b c (Å): 5.3431 5.3431 5.3431
angles (deg): 120.08 120.08 89.86
Last column: nearest neighbours and their distance in Å.
Element x y z (fractional)
1 K 0.0000 0.0000 0.0000  4 K 3.27, 4 Rh 3.27
2 K 0.7500 0.2500 0.5000  4 Tl 3.27, 4 K 3.27
3 Tl 0.5000 0.5000 0.0000  4 K 3.27, 4 Rh 3.27
4 Rh 0.2500 0.7500 0.5000  4 Tl 3.27, 4 K 3.27

---

First-principles (PBE-GGA) data for crystalline K2Tl6Rh at its relaxed geometry, as listed in Alexandria.

Properties
The value obtained for the relative energy among the computed polymorphs is 37 meV per atom.

a b c (Å): 9.6668 9.6668 3.5901
angles (deg): 90.00 90.00 120.00
Last column: nearest neighbours and their distance in Å.
Element x y z (fractional)
1 K 0.3333 0.6667 0.0000  2 K 3.59, 9 Tl 3.76-3.79
2 K 0.6667 0.3333 0.0000  2 K 3.59, 9 Tl 3.76-3.79
3 Tl 0.0000 0.2351 0.0000  2 Rh 2.90
4 Tl 0.0000 0.6819 0.5000  1 Rh 3.08, 4 Tl 3.29
5 Tl 0.2351 0.0000 0.0000  2 Rh 2.90
6 Tl 0.3181 0.3181 0.5000  1 Rh 3.08, 4 Tl 3.29
7 Tl 0.6819 0.0000 0.5000  1 Rh 3.08, 4 Tl 3.29
8 Tl 0.7649 0.7649 0.0000  2 Rh 2.90
9 Rh 0.0000 0.0000 0.5000  9 Tl 2.90-3.08

---

First-principles (PBE-GGA) data for crystalline K3Tl4Rh at its relaxed geometry, as listed in Alexandria.

a b c (Å): 7.4942 7.4942 7.4942
angles (deg): 125.16 115.71 89.44
Last column: nearest neighbours and their distance in Å.
Element x y z (fractional)
1 K 0.0000 0.0000 0.0000  2 Tl 3.86, 2 Rh 4.11, 6 K 4.29-4.30
2 K 0.4023 0.6372 0.7650  7 Tl 3.72-3.82, 1 K 3.75, 2 Rh 3.96
3 K 0.8722 0.6372 0.2350  7 Tl 3.72-3.82, 1 K 3.75, 2 Rh 3.96
4 Tl 0.3897 0.1226 0.7330  1 Rh 2.69
5 Tl 0.3897 0.6567 0.2670  1 Rh 2.69
6 Tl 0.5812 0.2890 0.2922  1 Rh 2.67
7 Tl 0.9968 0.2890 0.7078  1 Rh 2.67
8 Rh 0.5927 0.0927 0.5000  4 Tl 2.67-2.69

---

First-principles (PBE-GGA) data for crystalline KTlRh2 at its relaxed geometry, as listed in Alexandria.

Properties
The value obtained for the relative energy among the computed polymorphs is 373 meV per atom.

a b c (Å): 5.2149 5.2149 3.0206
angles (deg): 90.00 90.00 105.91
Last column: nearest neighbours and their distance in Å.
Element x y z (fractional)
1 K 0.0000 0.0000 0.0000  8 Rh 3.01, 2 K 3.02, 2 Tl 3.14
2 Tl 0.5000 0.5000 0.0000  8 Rh 3.01, 2 Tl 3.02, 2 K 3.14
3 Rh 0.0000 0.5000 0.5000  4 Tl 3.01, 4 K 3.01, 4 Rh 3.02-3.14
4 Rh 0.5000 0.0000 0.5000  4 Tl 3.01, 4 K 3.01, 4 Rh 3.02-3.14

---

First-principles (PBE-GGA) data for crystalline KTlRh2 at its relaxed geometry, as listed in Alexandria.

Properties
The value obtained for the relative energy among the computed polymorphs is 278 meV per atom.

a b c (Å): 9.7060 9.7060 9.7060
angles (deg): 18.81 18.81 18.81
Last column: nearest neighbours and their distance in Å.
Element x y z (fractional)
1 K 0.0000 0.0000 0.0000  6 K 3.17, 6 Rh 3.26
2 Tl 0.5000 0.5000 0.5000  6 Rh 2.77
3 Rh 0.2392 0.2392 0.2392  3 Tl 2.77
4 Rh 0.7608 0.7608 0.7608  3 Tl 2.77

---

First-principles (PBE-GGA) data for crystalline KTl4Rh at its relaxed geometry, as listed in Alexandria.

Properties
The value obtained for the relative energy among the computed polymorphs is 0 meV per atom.

a b c (Å): 9.3491 4.2248 8.5588
angles (deg): 90.00 90.00 90.00
Last column: nearest neighbours and their distance in Å.
Element x y z (fractional)
1 K 0.2500 0.0000 0.0944  10 Tl 3.54-3.76, 1 Rh 3.62
2 K 0.7500 0.0000 0.9056  10 Tl 3.54-3.76, 1 Rh 3.62
3 Tl 0.0000 0.0000 0.5000  2 Rh 2.76
4 Tl 0.0700 0.5000 0.8060  2 Rh 2.93
5 Tl 0.2500 0.5000 0.4259  2 Rh 2.98, 4 Tl 3.21
6 Tl 0.4300 0.5000 0.8060  2 Rh 2.93
7 Tl 0.5000 0.0000 0.5000  2 Rh 2.76
8 Tl 0.5700 0.5000 0.1940  2 Rh 2.93
9 Tl 0.7500 0.5000 0.5741  2 Rh 2.98, 4 Tl 3.21
10 Tl 0.9300 0.5000 0.1940  2 Rh 2.93
11 Rh 0.2500 0.0000 0.6720  8 Tl 2.76-2.98
12 Rh 0.7500 0.0000 0.3280  8 Tl 2.76-2.98

---

First-principles (PBE-GGA) data for crystalline KTlRh2 at its relaxed geometry, as listed in Alexandria.

Properties
The value obtained for the relative energy among the computed polymorphs is 224 meV per atom.

a b c (Å): 2.9816 4.7322 6.6325
angles (deg): 90.00 98.83 90.00
Last column: nearest neighbours and their distance in Å.
Element x y z (fractional)
1 K 0.0000 0.0000 0.0000  2 K 2.98
2 Tl 0.5000 0.0000 0.5000  4 Rh 2.73, 2 Tl 2.98
3 Rh 0.2897 0.5000 0.6690  2 Rh 2.61-2.73, 2 Tl 2.73
4 Rh 0.7103 0.5000 0.3310  2 Rh 2.61-2.73, 2 Tl 2.73

---

First-principles (PBE-GGA) data for crystalline K2TlRh at its relaxed geometry, as listed in Alexandria.

Properties
The value obtained for the relative energy among the computed polymorphs is 337 meV per atom.

a b c (Å): 4.3991 4.3991 5.4948
angles (deg): 90.00 90.00 90.00
Last column: nearest neighbours and their distance in Å.
Element x y z (fractional)
1 K 0.0000 0.5000 0.0000  4 K 3.11
2 K 0.5000 0.0000 0.0000  4 K 3.11
3 Tl 0.0000 0.0000 0.5000  4 Rh 3.11
4 Rh 0.5000 0.5000 0.5000  4 Tl 3.11

---

First-principles (PBE-GGA) data for crystalline KTlRh at its relaxed geometry, as listed in Alexandria.

a b c (Å): 4.8703 4.8703 4.8703
angles (deg): 60.00 60.00 60.00
Last column: nearest neighbours and their distance in Å.
Element x y z (fractional)
1 K 0.0000 0.0000 0.0000  4 Rh 2.98
2 Tl 0.5000 0.5000 0.5000  4 Rh 2.98
3 Rh 0.2500 0.2500 0.2500  4 Tl 2.98, 4 K 2.98

---

First-principles (PBE-GGA) data for crystalline K3TlRh at its relaxed geometry, as listed in Alexandria.

Properties
The value obtained for the relative energy among the computed polymorphs is 0 meV per atom.

a b c (Å): 5.9548 5.9548 5.9548
angles (deg): 90.00 90.00 90.00
Last column: nearest neighbours and their distance in Å.
Element x y z (fractional)
1 K 0.0000 0.0000 0.5000  2 Rh 2.98
2 K 0.0000 0.5000 0.0000  2 Rh 2.98
3 K 0.5000 0.0000 0.0000  2 Rh 2.98
4 Tl 0.5000 0.5000 0.5000  12 K 4.21
5 Rh 0.0000 0.0000 0.0000  6 K 2.98

---

First-principles (PBE-GGA) data for crystalline K2TlRh at its relaxed geometry, as listed in Alexandria.

Properties
The value obtained for the relative energy among the computed polymorphs is 352 meV per atom.

a b c (Å): 3.7918 5.1988 5.8017
angles (deg): 90.00 90.00 90.00
Last column: nearest neighbours and their distance in Å.
Element x y z (fractional)
1 K 0.0000 0.0000 0.2390  2 K 2.77-3.03
2 K 0.0000 0.0000 0.7610  2 K 2.77-3.03
3 Tl 0.5000 0.5000 0.5000  2 Rh 2.90
4 Rh 0.5000 0.5000 0.0000  2 Tl 2.90

---

Formation energy from the elements / kcal/mol of atoms: 3.713 12.572 5.349 8.141 -0.035 -0.316 14.321 12.132 -0.716 10.895 9.853 9.306 12.280 10.183
DOS(E_F) / states/eV/f.u.: 1.99 1.73 1.30 2.19 5.54 4.41 6.74 5.22 4.05 3.42 1.13 2.63 4.65 2.09